[1]
The following is a DFT calculation (PBE) of Y4GeAs2S after structural relaxation.

Space group: P2/m
Size of the total moment (μB per atom): 0.00
E_form (uncorrected) (eV per atom): -1.521
Calculated total energy (eV for the cell shown): -56.06

Cell lengths 4.078, 7.090, 7.095 Å; angles 70.67, 90.00, 90.00 degrees
Fractional positions:
Y 0.500 0.749 0.250
Y 0.000 0.750 0.747
Y 0.500 0.251 0.750
Y 0.000 0.250 0.253
Ge 0.000 0.500 0.500
S 0.500 0.500 0.000
As 0.000 0.000 0.000
As 0.500 0.000 0.500

[2]
The following is a DFT calculation (PBE) of KNa12Pb4 after structural relaxation.

Space group: Im-3
Size of the total moment (μB per atom): 0.00
ΔH_f (0 K) (eV per atom): 0.054
Calculated total energy (eV for the cell shown): -30.84

Cell lengths 9.814, 9.814, 9.814 Å; angles 109.47, 109.47, 109.47 degrees
Fractional positions:
Na 0.331 0.512 0.181
Na 0.181 0.669 0.850
Na 0.512 0.181 0.331
Na 0.488 0.819 0.669
Na 0.669 0.488 0.819
Na 0.331 0.150 0.819
Na 0.850 0.181 0.669
Na 0.819 0.331 0.150
Na 0.669 0.850 0.181
Na 0.181 0.331 0.512
Na 0.819 0.669 0.488
Na 0.150 0.819 0.331
K 0.000 0.000 0.000
Pb 0.500 0.000 0.000
Pb 0.500 0.500 0.500
Pb 0.000 0.000 0.500
Pb 0.000 0.500 0.000

[3]
The following is a DFT calculation (PBE) of LaZnI2O after structural relaxation.

Space group: P4/mmm
Size of the total moment (μB per atom): 0.00
E_form (uncorrected) (eV per atom): -1.188
Relative energy among the computed polymorphs (kJ/mol of formula units): 0.0
Calculated total energy (eV for the cell shown): -20.20

Cell lengths 6.555, 6.555, 4.302 Å; angles 90.00, 90.00, 90.00 degrees
Fractional positions:
I 0.500 0.000 0.000
I 0.000 0.500 0.000
La 0.000 0.000 0.000
O 0.000 0.000 0.500
Zn 0.500 0.500 0.500

[4]
The following is a DFT calculation (PBE) of Sm6CS5 after structural relaxation.

Space group: C2/m
Size of the total moment (μB per atom): 0.00
E_form (uncorrected) (eV per atom): -1.778
Calculated total energy (eV for the cell shown): -79.52

Cell lengths 6.894, 6.884, 6.875 Å; angles 59.96, 80.46, 70.67 degrees
Fractional positions:
C 0.000 0.000 0.000
S 0.500 0.829 0.342
S 0.500 0.171 0.658
S 0.000 0.334 0.332
S 0.000 0.666 0.668
S 0.500 0.500 0.000
Sm 0.769 0.385 0.692
Sm 0.232 0.230 0.000
Sm 0.231 0.923 0.692
Sm 0.231 0.615 0.308
Sm 0.768 0.770 0.000
Sm 0.769 0.077 0.308

[5]
The following is a DFT calculation (PBE) of YRu3C after structural relaxation.

Space group: P1
Size of the total moment (μB per atom): 0.00
ΔH_f (0 K) (eV per atom): -0.048
Calculated total energy (eV for the cell shown): -87.51

Cell lengths 5.592, 5.277, 5.807 Å; angles 86.79, 78.68, 116.16 degrees
Fractional positions:
Ru 0.620 0.047 0.916
Ru 0.083 0.124 0.615
Ru 0.546 0.009 0.397
Ru 0.609 0.549 0.158
Ru 0.111 0.543 0.316
Ru 0.085 0.595 0.792
C 0.838 0.342 0.117
C 0.349 0.022 0.720
Y 0.101 0.057 0.121
Y 0.619 0.561 0.647

[6]
The following is a DFT calculation (PBE) of PrYCrN3 after structural relaxation.

Space group: P2_1/m
Size of the total moment (μB per atom): 0.00
E_form (uncorrected) (eV per atom): -1.074
Calculated total energy (eV for the cell shown): -104.58

Cell lengths 3.441, 7.510, 7.362 Å; angles 99.33, 90.00, 90.00 degrees
Fractional positions:
Cr 0.750 0.918 0.402
Cr 0.250 0.082 0.598
N 0.750 0.876 0.155
N 0.750 0.160 0.518
N 0.250 0.840 0.482
N 0.750 0.408 0.150
N 0.250 0.124 0.845
N 0.250 0.592 0.850
Y 0.250 0.634 0.170
Y 0.750 0.366 0.830
Pr 0.250 0.182 0.185
Pr 0.750 0.818 0.815

[7]
The following is a DFT calculation (PBE) of TbErCuSi after structural relaxation.

Space group: F-43m
Size of the total moment (μB per atom): 0.00
E_form (uncorrected) (eV per atom): -0.430
Relative energy among the computed polymorphs (kJ/mol of formula units): 40.5
Calculated total energy (eV for the cell shown): -20.43

Cell lengths 4.918, 4.918, 4.918 Å; angles 60.00, 60.00, 60.00 degrees
Fractional positions:
Er 0.500 0.500 0.500
Si 0.750 0.750 0.750
Cu 0.250 0.250 0.250
Tb 0.000 0.000 0.000

[8]
The following is a DFT calculation (PBE) of YVW after structural relaxation.

Space group: Imma
Size of the total moment (μB per atom): 0.27
ΔH_f (0 K) (eV per atom): 0.243
Calculated total energy (eV for the cell shown): -55.61

Cell lengths 5.473, 5.473, 5.473 Å; angles 89.25, 61.74, 120.90 degrees
Last column: magnetic moment on the atom in μB.
Fractional positions:
V 0.500 0.500 0.000  -0.56
V 0.000 0.500 0.500  -0.56
Y 0.250 0.125 0.625  -0.11
Y 0.750 0.875 0.375  -0.11
W 0.000 0.500 0.000  0.09
W 0.500 0.000 0.000  0.09